Material: RbFe
Method: DFT, PBE-GGA
State: relaxed

Values from the calculation:
Symmetry = Fm-3m (225)
Mass density = 2.53 g/cm3
M_tot = 3.07 μB/f.u.
Energy above the lowest structure with this stoichiometry = 2.05 eV per formula unit
Energy = -23.874 eV/cell

Cell and atoms, written as extended XYZ:
```
8
Lattice="-5.603 2.644 3.640 3.087 -1.970 6.183 3.273 6.385 0.400" Properties=species:S:1:pos:R:3 pbc="T T T"
Fe -1.165 4.514 2.020
Rb 0.379 3.529 5.111
Fe -1.258 0.337 4.911
Rb 1.544 -0.985 3.091
Rb 1.637 3.192 0.200
Fe 3.180 2.207 3.291
Rb -2.801 1.322 1.820
Fe 0.000 0.000 0.000
```

***

Material: RbFe
Method: DFT, PBE-GGA
State: relaxed

Values from the calculation:
Symmetry = Pmmn (59)
Mass density = 2.96 g/cm3
M_tot = 2.82 μB/f.u.
Energy above the lowest structure with this stoichiometry = 0.27 eV per formula unit
Energy = -46.495 eV/cell

Cell and atoms, written as extended XYZ:
```
12
Lattice="-0.525 -3.252 -2.625 6.879 0.474 -1.964 3.976 -9.949 11.528" Properties=species:S:1:pos:R:3 pbc="T T T"
Rb 6.115 -1.844 1.061
Rb 8.329 -7.383 7.479
Fe 1.729 -4.265 4.937
Fe 2.295 -5.681 6.577
Fe 6.875 -1.862 -2.449
Fe 6.840 0.471 -1.953
Fe 10.286 -10.395 7.438
Rb 5.557 -4.729 4.745
Rb 4.251 -8.692 6.537
Rb 2.489 -4.282 1.427
Fe 1.764 -6.598 4.440
Rb 3.047 -1.398 -2.258
```

***

Material: RbFe
Method: DFT, PBE-GGA
State: relaxed

Values from the calculation:
Symmetry = Immm (71)
Mass density = 3.48 g/cm3
M_tot = 2.84 μB/f.u.
Energy above the lowest structure with this stoichiometry = 1.77 eV per formula unit
Energy = -12.492 eV/cell

Cell and atoms, written as extended XYZ:
```
4
Lattice="-1.374 -2.329 -1.281 3.363 -4.254 4.128 -4.891 0.443 4.441" Properties=species:S:1:pos:R:3 pbc="T T T"
Rb -0.687 -1.164 -0.640
Fe 0.994 -3.291 1.423
Rb -0.764 -1.906 4.284
Fe -2.445 0.222 2.220
```